No. 1
This record from the Open Quantum Materials Database describes a geometry-optimized URePb structure. The functional is PBE-GGA.

Results
SG: F-43m, No. 216
Mass density in Mg/m³: 14.23
DFT total energy in eV per cell: -101.67

Unit cell a=6.656 b=6.656 c=6.656 alpha=90.00 beta=90.00 gamma=90.00
Positions (direct):
U1 0.000 0.000 0.000
U2 0.000 0.500 0.500
U3 0.500 0.000 0.500
U4 0.500 0.500 0.000
Re1 0.250 0.250 0.250
Re2 0.250 0.750 0.750
Re3 0.750 0.250 0.750
Re4 0.750 0.750 0.250
Pb1 0.000 0.000 0.500
Pb2 0.000 0.500 0.000
Pb3 0.500 0.000 0.000
Pb4 0.500 0.500 0.500

No. 2
This record from the Open Quantum Materials Database describes a geometry-optimized Re3Pb3W2 structure. The functional is PBE-GGA.

Results
SG: P2/m, No. 10
Mass density in Mg/m³: 15.25
DFT total energy in eV per cell: -65.66

Unit cell a=5.420 b=3.029 c=10.332 alpha=90.00 beta=96.40 gamma=90.00
Positions (direct):
Re1 0.000 0.000 0.000
Re2 0.073 0.500 0.805
Re3 0.927 0.500 0.195
Pb1 0.415 0.000 0.667
Pb2 0.500 0.500 0.000
Pb3 0.585 0.000 0.333
W1 0.157 0.500 0.412
W2 0.843 0.500 0.588

No. 3
This record from the Open Quantum Materials Database describes a geometry-optimized ZnRe2Pb structure. The functional is PBE-GGA.

Results
SG: F-43m, No. 216
Mass density in Mg/m³: 15.73
DFT total energy in eV per cell: -104.67

Unit cell a=6.482 b=6.482 c=6.482 alpha=90.00 beta=90.00 gamma=90.00
Positions (direct):
Zn1 0.000 0.000 0.000
Zn2 0.000 0.500 0.500
Zn3 0.500 0.000 0.500
Zn4 0.500 0.500 0.000
Re1 0.000 0.000 0.500
Re2 0.000 0.500 0.000
Re3 0.250 0.250 0.250
Re4 0.250 0.750 0.750
Re5 0.500 0.000 0.000
Re6 0.500 0.500 0.500
Re7 0.750 0.250 0.750
Re8 0.750 0.750 0.250
Pb1 0.250 0.250 0.750
Pb2 0.250 0.750 0.250
Pb3 0.750 0.250 0.250
Pb4 0.750 0.750 0.750

No. 4
This record from the Open Quantum Materials Database describes a geometry-optimized ZrSiPbS3 structure. The functional is PBE-GGA.

Results
SG: Cmcm, No. 63
Mass density in Mg/m³: 5.46
DFT total energy in eV per cell: -66.99

Unit cell a=8.136 b=8.136 c=8.906 alpha=90.00 beta=90.00 gamma=154.15
Positions (direct):
Zr1 0.000 0.000 0.000
Zr2 0.000 0.000 0.500
Si1 0.456 0.544 0.750
Si2 0.544 0.456 0.250
Pb1 0.270 0.730 0.250
Pb2 0.730 0.270 0.750
S1 0.101 0.899 0.750
S2 0.375 0.625 0.550
S3 0.375 0.625 0.950
S4 0.625 0.375 0.050
S5 0.625 0.375 0.450
S6 0.899 0.101 0.250

No. 5
This record from the Open Quantum Materials Database describes a geometry-optimized SmPbS2 structure. The functional is PBE-GGA.

Results
SG: P4/mmm, No. 123
Mass density in Mg/m³: 7.03
DFT total energy in eV per cell: -21.37

Unit cell a=4.123 b=4.123 c=5.858 alpha=90.00 beta=90.00 gamma=90.00
Positions (direct):
Sm1 0.000 0.000 0.000
Pb1 0.500 0.500 0.500
S1 0.000 0.000 0.500
S2 0.500 0.500 0.000

No. 6
This record from the Open Quantum Materials Database describes a geometry-optimized SmPb2S3 structure. The functional is PBE-GGA.

Results
SG: P-3m1, No. 164
Mass density in Mg/m³: 6.79
DFT total energy in eV per cell: -30.66

Unit cell a=4.004 b=4.004 c=11.639 alpha=90.00 beta=90.00 gamma=120.00
Positions (direct):
Sm1 0.000 0.000 0.000
Pb1 0.333 0.667 0.661
Pb2 0.667 0.333 0.339
S1 0.000 0.000 0.500
S2 0.333 0.667 0.135
S3 0.667 0.333 0.865

No. 7
This record from the Open Quantum Materials Database describes a geometry-optimized SmSnPbS3 structure. The functional is PBE-GGA.

Results
SG: Cmcm, No. 63
Mass density in Mg/m³: 5.76
DFT total energy in eV per cell: -61.02

Unit cell a=7.623 b=7.623 c=11.307 alpha=90.00 beta=90.00 gamma=149.87
Positions (direct):
Sm1 0.000 0.000 0.000
Sm2 0.000 0.000 0.500
Sn1 0.350 0.650 0.750
Sn2 0.650 0.350 0.250
Pb1 0.342 0.658 0.250
Pb2 0.658 0.342 0.750
S1 0.011 0.989 0.250
S2 0.368 0.632 0.505
S3 0.368 0.632 0.995
S4 0.632 0.368 0.005
S5 0.632 0.368 0.495
S6 0.989 0.011 0.750

No. 8
This record from the Open Quantum Materials Database describes a geometry-optimized TbSnPbS3 structure. The functional is PBE-GGA.

Results
SG: Cmcm, No. 63
Mass density in Mg/m³: 5.95
DFT total energy in eV per cell: -61.17

Unit cell a=7.676 b=7.676 c=11.218 alpha=90.00 beta=90.00 gamma=150.62
Positions (direct):
Tb1 0.000 0.000 0.000
Tb2 0.000 0.000 0.500
Sn1 0.355 0.645 0.750
Sn2 0.645 0.355 0.250
Pb1 0.338 0.662 0.250
Pb2 0.662 0.338 0.750
S1 0.007 0.993 0.250
S2 0.372 0.628 0.504
S3 0.372 0.628 0.996
S4 0.628 0.372 0.004
S5 0.628 0.372 0.496
S6 0.993 0.007 0.750

No. 9
This record from the Open Quantum Materials Database describes a geometry-optimized Ta7Pb8S22 structure. The functional is PBE-GGA.

Results
SG: Ccc2, No. 37
Mass density in Mg/m³: 7.10
DFT total energy in eV per cell: -467.66

Unit cell a=17.086 b=17.086 c=5.825 alpha=90.00 beta=90.00 gamma=93.51
Positions (direct):
Ta1 0.000 0.500 0.500
Ta2 0.072 0.571 0.000
Ta3 0.143 0.643 0.500
Ta4 0.214 0.714 0.000
Ta5 0.286 0.786 0.500
Ta6 0.357 0.857 0.000
Ta7 0.429 0.928 0.500
Ta8 0.500 0.000 0.000
Ta9 0.571 0.072 0.500
Ta10 0.643 0.143 0.000
Ta11 0.714 0.214 0.500
Ta12 0.786 0.286 0.000
Ta13 0.857 0.357 0.500
Ta14 0.928 0.429 0.000
Pb1 0.000 0.125 0.590
Pb2 0.000 0.875 0.590
Pb3 0.125 0.000 0.090
Pb4 0.126 0.249 0.087
Pb5 0.249 0.126 0.587
Pb6 0.250 0.376 0.593
Pb7 0.375 0.499 0.088
Pb8 0.376 0.250 0.093
Pb9 0.499 0.375 0.588
Pb10 0.501 0.625 0.588
Pb11 0.624 0.750 0.093
Pb12 0.625 0.501 0.088
Pb13 0.750 0.624 0.593
Pb14 0.751 0.874 0.587
Pb15 0.874 0.751 0.087
Pb16 0.875 0.000 0.090
S1 0.009 0.634 0.333
S2 0.015 0.110 0.089
S3 0.063 0.437 0.833
S4 0.080 0.705 0.833
S5 0.110 0.015 0.589
S6 0.134 0.509 0.334
S7 0.138 0.236 0.586
S8 0.152 0.777 0.334
S9 0.205 0.580 0.833
S10 0.223 0.848 0.834
S11 0.236 0.138 0.086
S12 0.265 0.360 0.091
S13 0.277 0.652 0.333
S14 0.295 0.920 0.333
S15 0.348 0.723 0.833
S16 0.360 0.265 0.591
S17 0.366 0.991 0.833
S18 0.389 0.486 0.587
S19 0.420 0.795 0.333
S20 0.437 0.063 0.333
S21 0.486 0.389 0.087
S22 0.491 0.866 0.834
S23 0.509 0.134 0.834
S24 0.514 0.611 0.087
S25 0.563 0.937 0.333
S26 0.580 0.205 0.333
S27 0.611 0.514 0.587
S28 0.634 0.009 0.833
S29 0.640 0.735 0.591
S30 0.652 0.277 0.833
S31 0.705 0.080 0.333
S32 0.723 0.348 0.333
S33 0.735 0.640 0.091
S34 0.764 0.862 0.086
S35 0.777 0.152 0.834
S36 0.795 0.420 0.833
S37 0.848 0.223 0.334
S38 0.862 0.764 0.586
S39 0.866 0.491 0.334
S40 0.890 0.985 0.589
S41 0.920 0.295 0.833
S42 0.937 0.563 0.833
S43 0.985 0.890 0.089
S44 0.991 0.366 0.333

No. 10
This record from the Open Quantum Materials Database describes a geometry-optimized TbPb2S3 structure. The functional is PBE-GGA.

Results
SG: P-3m1, No. 164
Mass density in Mg/m³: 7.09
DFT total energy in eV per cell: -30.71

Unit cell a=3.966 b=3.966 c=11.512 alpha=90.00 beta=90.00 gamma=120.00
Positions (direct):
Tb1 0.000 0.000 0.000
Pb1 0.333 0.667 0.663
Pb2 0.667 0.333 0.337
S1 0.000 0.000 0.500
S2 0.333 0.667 0.132
S3 0.667 0.333 0.868

No. 11
This record from the Open Quantum Materials Database describes a geometry-optimized TbPbS2 structure. The functional is PBE-GGA.

Results
SG: P4/mmm, No. 123
Mass density in Mg/m³: 7.38
DFT total energy in eV per cell: -21.12

Unit cell a=4.083 b=4.083 c=5.803 alpha=90.00 beta=90.00 gamma=90.00
Positions (direct):
Tb1 0.000 0.000 0.000
Pb1 0.500 0.500 0.500
S1 0.000 0.000 0.500
S2 0.500 0.500 0.000

No. 12
This record from the Open Quantum Materials Database describes a geometry-optimized TmTlPbS3 structure. The functional is PBE-GGA.

Results
SG: Pnma, No. 62
Mass density in Mg/m³: 6.31
DFT total energy in eV per cell: -118.07

Unit cell a=14.422 b=3.985 c=12.384 alpha=90.00 beta=90.00 gamma=90.00
Positions (direct):
Tm1 0.002 0.250 0.139
Tm2 0.498 0.750 0.639
Tm3 0.502 0.250 0.361
Tm4 0.998 0.750 0.861
Tl1 0.239 0.250 0.401
Tl2 0.261 0.750 0.901
Tl3 0.739 0.250 0.099
Tl4 0.761 0.750 0.599
Pb1 0.053 0.250 0.607
Pb2 0.447 0.750 0.107
Pb3 0.553 0.250 0.893
Pb4 0.947 0.750 0.393
S1 0.087 0.750 0.252
S2 0.100 0.250 0.957
S3 0.140 0.750 0.709
S4 0.360 0.250 0.209
S5 0.400 0.750 0.457
S6 0.413 0.250 0.752
S7 0.587 0.750 0.248
S8 0.600 0.250 0.543
S9 0.640 0.750 0.791
S10 0.860 0.250 0.291
S11 0.900 0.750 0.043
S12 0.913 0.250 0.748

No. 13
This record from the Open Quantum Materials Database describes a geometry-optimized TmTlPbS3 structure. The functional is PBE-GGA.

Results
SG: Cmcm, No. 63
Mass density in Mg/m³: 5.92
DFT total energy in eV per cell: -58.53

Unit cell a=9.231 b=9.231 c=10.532 alpha=90.00 beta=90.00 gamma=154.96
Positions (direct):
Tm1 0.000 0.000 0.000
Tm2 0.000 0.000 0.500
Tl1 0.312 0.688 0.750
Tl2 0.688 0.312 0.250
Pb1 0.369 0.631 0.250
Pb2 0.631 0.369 0.750
S1 0.030 0.970 0.750
S2 0.400 0.600 0.527
S3 0.400 0.600 0.973
S4 0.600 0.400 0.027
S5 0.600 0.400 0.473
S6 0.970 0.030 0.250

No. 14
This record from the Open Quantum Materials Database describes a geometry-optimized ZrTl2PbS4 structure. The functional is PBE-GGA.

Results
SG: C2/c, No. 15
Mass density in Mg/m³: 6.63
DFT total energy in eV per cell: -81.09

Unit cell a=8.808 b=8.808 c=6.871 alpha=106.62 beta=106.62 gamma=56.16
Positions (direct):
Zr1 0.123 0.877 0.750
Zr2 0.877 0.123 0.250
Tl1 0.125 0.376 0.766
Tl2 0.376 0.125 0.266
Tl3 0.624 0.875 0.734
Tl4 0.875 0.624 0.234
Pb1 0.376 0.624 0.250
Pb2 0.624 0.376 0.750
S1 0.007 0.800 0.998
S2 0.200 0.993 0.502
S3 0.233 0.555 0.536
S4 0.445 0.767 0.964
S5 0.555 0.233 0.036
S6 0.767 0.445 0.464
S7 0.800 0.007 0.498
S8 0.993 0.200 0.002

No. 15
This record from the Open Quantum Materials Database describes a geometry-optimized Tm2PbS4 structure. The functional is PBE-GGA.

Results
SG: Pnma, No. 62
Mass density in Mg/m³: 6.68
DFT total energy in eV per cell: -162.49

Unit cell a=11.966 b=3.933 c=14.225 alpha=90.00 beta=90.00 gamma=90.00
Positions (direct):
Tm1 0.063 0.250 0.111
Tm2 0.082 0.250 0.599
Tm3 0.418 0.750 0.099
Tm4 0.437 0.750 0.611
Tm5 0.563 0.250 0.389
Tm6 0.582 0.250 0.901
Tm7 0.918 0.750 0.401
Tm8 0.937 0.750 0.889
Pb1 0.239 0.250 0.335
Pb2 0.261 0.750 0.835
Pb3 0.739 0.250 0.165
Pb4 0.761 0.750 0.665
S1 0.024 0.750 0.715
S2 0.087 0.250 0.924
S3 0.128 0.750 0.472
S4 0.206 0.750 0.169
S5 0.294 0.250 0.669
S6 0.372 0.250 0.972
S7 0.413 0.750 0.424
S8 0.476 0.250 0.215
S9 0.524 0.750 0.785
S10 0.587 0.250 0.576
S11 0.628 0.750 0.028
S12 0.706 0.750 0.331
S13 0.794 0.250 0.831
S14 0.872 0.250 0.528
S15 0.913 0.750 0.076
S16 0.976 0.250 0.285

No. 16
This record from the Open Quantum Materials Database describes a geometry-optimized U2PbS5 structure. The functional is PBE-GGA.

Results
SG: P2_1/c, No. 14
Mass density in Mg/m³: 7.84
DFT total energy in eV per cell: -225.20

Unit cell a=8.222 b=7.443 c=11.676 alpha=90.00 beta=90.26 gamma=90.00
Positions (direct):
U1 0.002 0.020 0.319
U2 0.002 0.480 0.819
U3 0.243 0.575 0.493
U4 0.243 0.925 0.993
U5 0.757 0.075 0.007
U6 0.757 0.425 0.507
U7 0.998 0.520 0.181
U8 0.998 0.980 0.681
Pb1 0.489 0.513 0.177
Pb2 0.489 0.987 0.677
Pb3 0.511 0.013 0.323
Pb4 0.511 0.487 0.823
S1 0.048 0.164 0.098
S2 0.048 0.336 0.598
S3 0.216 0.547 0.999
S4 0.216 0.953 0.499
S5 0.219 0.164 0.816
S6 0.219 0.336 0.316
S7 0.229 0.696 0.717
S8 0.229 0.804 0.217
S9 0.462 0.160 0.087
S10 0.462 0.340 0.587
S11 0.538 0.660 0.413
S12 0.538 0.840 0.913
S13 0.771 0.196 0.783
S14 0.771 0.304 0.283
S15 0.781 0.664 0.684
S16 0.781 0.836 0.184
S17 0.784 0.047 0.501
S18 0.784 0.453 0.001
S19 0.952 0.664 0.402
S20 0.952 0.836 0.902

No. 17
This record from the Open Quantum Materials Database describes a geometry-optimized U2PbS5 structure. The functional is PBE-GGA.

Results
SG: Pnma, No. 62
Mass density in Mg/m³: 7.97
DFT total energy in eV per cell: -220.90

Unit cell a=12.258 b=7.739 c=7.407 alpha=90.00 beta=90.00 gamma=90.00
Positions (direct):
U1 0.178 0.002 0.013
U2 0.178 0.498 0.013
U3 0.322 0.502 0.513
U4 0.322 0.998 0.513
U5 0.678 0.002 0.487
U6 0.678 0.498 0.487
U7 0.822 0.502 0.987
U8 0.822 0.998 0.987
Pb1 0.008 0.250 0.558
Pb2 0.492 0.750 0.058
Pb3 0.508 0.250 0.942
Pb4 0.992 0.750 0.442
S1 0.002 0.250 0.984
S2 0.123 0.534 0.666
S3 0.123 0.966 0.666
S4 0.190 0.250 0.317
S5 0.214 0.750 0.298
S6 0.286 0.250 0.798
S7 0.310 0.750 0.817
S8 0.377 0.034 0.166
S9 0.377 0.466 0.166
S10 0.498 0.750 0.484
S11 0.502 0.250 0.516
S12 0.623 0.534 0.834
S13 0.623 0.966 0.834
S14 0.690 0.250 0.183
S15 0.714 0.750 0.202
S16 0.786 0.250 0.702
S17 0.810 0.750 0.683
S18 0.877 0.034 0.334
S19 0.877 0.466 0.334
S20 0.998 0.750 0.016